Arrangement w

{"formula": "PtAuS2N", "functional": "PBE-GGA", "state": "optimized geometry", "cell": [[4.986, 0.000, 0.000], [0.000, 4.986, 0.000], [0.000, 0.000, 3.646]], "species": ["Pt", "Au", "S", "S", "N"], "fractional_positions": [[0.000, 0.000, 0.000], [0.500, 0.500, 0.500], [0.000, 0.500, 0.000], [0.500, 0.000, 0.000], [0.000, 0.000, 0.500]], "rho_g_cm3": 8.61}



Arrangement x

{"formula": "PtAuS2N", "functional": "PBE-GGA", "state": "optimized geometry", "cell": [[4.986, 0.000, 0.000], [0.000, 4.986, 0.000], [0.000, 0.000, 3.694]], "species": ["Pt", "Au", "S", "S", "N"], "fractional_positions": [[0.000, 0.000, 0.000], [0.500, 0.500, 0.500], [0.000, 0.500, 0.500], [0.500, 0.000, 0.500], [0.500, 0.500, 0.000]], "rho_g_cm3": 8.50}



It comes down to arrangement w, which is 63.6 kJ/mol of atoms more stable than the next structure.



Arrangement w

{"formula": "PtAuSN2", "functional": "PBE-GGA", "state": "optimized geometry", "cell": [[3.772, 0.000, 0.000], [0.000, 3.772, 0.000], [0.000, 0.000, 7.604]], "species": ["Pt", "Au", "S", "N", "N"], "fractional_positions": [[0.000, 0.000, 0.000], [0.500, 0.500, 0.500], [0.500, 0.500, 0.000], [0.000, 0.500, 0.500], [0.500, 0.000, 0.500]], "rho_g_cm3": 6.94}



Arrangement x

{"formula": "PtAuSN2", "functional": "PBE-GGA", "state": "optimized geometry", "cell": [[3.694, 0.000, 0.000], [0.000, 3.694, 0.000], [0.000, 0.000, 8.054]], "species": ["Pt", "Au", "S", "N", "N"], "fractional_positions": [[0.000, 0.000, 0.000], [0.500, 0.500, 0.500], [0.000, 0.000, 0.500], [0.000, 0.500, 0.000], [0.500, 0.000, 0.000]], "rho_g_cm3": 6.83}



It comes down to arrangement x, which is 74.2 kJ/mol of atoms more stable than the next structure.



Arrangement w

{"formula": "Sr2PtAuN", "functional": "PBE-GGA", "state": "optimized geometry", "cell": [[5.446, 0.000, 0.000], [0.000, 5.446, 0.000], [0.000, 0.000, 3.865]], "species": ["Sr", "Sr", "Pt", "Au", "N"], "fractional_positions": [[0.000, 0.500, 0.000], [0.500, 0.000, 0.000], [0.000, 0.000, 0.500], [0.500, 0.500, 0.500], [0.000, 0.000, 0.000]], "rho_g_cm3": 8.42}



Arrangement x

{"formula": "Sr2PtAuN", "functional": "PBE-GGA", "state": "optimized geometry", "cell": [[5.871, 0.000, 0.000], [0.000, 5.871, 0.000], [0.000, 0.000, 4.948]], "species": ["Sr", "Sr", "Pt", "Au", "N"], "fractional_positions": [[0.000, 0.500, 0.000], [0.500, 0.000, 0.000], [0.000, 0.000, 0.500], [0.000, 0.000, 0.000], [0.500, 0.500, 0.500]], "rho_g_cm3": 5.66}



It comes down to arrangement w, which is 128.1 kJ/mol of atoms more stable than the next structure.



Arrangement w

{"formula": "TiPtAu2N", "functional": "PBE-GGA", "state": "optimized geometry", "cell": [[4.402, 0.000, 0.000], [0.000, 4.402, 0.000], [0.000, 0.000, 4.162]], "species": ["Ti", "Pt", "Au", "Au", "N"], "fractional_positions": [[0.000, 0.000, 0.000], [0.500, 0.500, 0.000], [0.000, 0.500, 0.500], [0.500, 0.000, 0.500], [0.500, 0.500, 0.500]], "rho_g_cm3": 13.40}



Arrangement x

{"formula": "TiPtAu2N", "functional": "PBE-GGA", "state": "optimized geometry", "cell": [[5.153, 0.000, 0.000], [0.000, 5.153, 0.000], [0.000, 0.000, 4.717]], "species": ["Ti", "Pt", "Au", "Au", "N"], "fractional_positions": [[0.000, 0.000, 0.000], [0.000, 0.000, 0.500], [0.000, 0.500, 0.500], [0.500, 0.000, 0.500], [0.500, 0.500, 0.000]], "rho_g_cm3": 8.63}



It comes down to arrangement w, which is 80.8 kJ/mol of atoms more stable than the next structure.



Arrangement w

{"formula": "RbAuN2", "functional": "PBE-GGA", "state": "optimized geometry", "cell": [[6.483, 0.000, 0.000], [0.000, 6.483, 0.000], [0.000, 0.000, 7.190]], "species": ["Rb", "Rb", "Rb", "Rb", "Au", "Au", "Au", "Au", "N", "N", "N", "N", "N", "N", "N", "N"], "fractional_positions": [[0.000, 0.000, 0.000], [0.000, 0.500, 0.250], [0.500, 0.000, 0.750], [0.500, 0.500, 0.500], [0.000, 0.000, 0.500], [0.000, 0.500, 0.750], [0.500, 0.000, 0.250], [0.500, 0.500, 0.000], [0.130, 0.750, 0.625], [0.250, 0.130, 0.375], [0.250, 0.370, 0.875], [0.370, 0.750, 0.125], [0.630, 0.250, 0.125], [0.750, 0.630, 0.875], [0.750, 0.870, 0.375], [0.870, 0.250, 0.625]], "rho_g_cm3": 6.82}



Arrangement x

{"formula": "RbAuN2", "functional": "PBE-GGA", "state": "optimized geometry", "cell": [[3.387, 0.000, 0.000], [-1.693, 2.933, 0.000], [0.000, 0.000, 21.566]], "species": ["Rb", "Rb", "Rb", "Au", "Au", "Au", "N", "N", "N", "N", "N", "N"], "fractional_positions": [[0.000, 0.000, 0.000], [0.333, 0.667, 0.667], [0.667, 0.333, 0.333], [0.000, 0.000, 0.500], [0.333, 0.667, 0.167], [0.667, 0.333, 0.833], [0.000, 0.000, 0.123], [0.000, 0.000, 0.877], [0.333, 0.667, 0.544], [0.333, 0.667, 0.789], [0.667, 0.333, 0.211], [0.667, 0.333, 0.456]], "rho_g_cm3": 7.22}



Arrangement y

{"formula": "RbAuN2", "functional": "PBE-GGA", "state": "optimized geometry", "cell": [[4.640, 0.000, 0.000], [-2.320, 4.018, 0.000], [0.000, 0.000, 19.745]], "species": ["Rb", "Rb", "Rb", "Au", "Au", "Au", "N", "N", "N", "N", "N", "N"], "fractional_positions": [[0.000, 0.000, 0.000], [0.333, 0.667, 0.667], [0.667, 0.333, 0.333], [0.000, 0.000, 0.500], [0.333, 0.667, 0.167], [0.667, 0.333, 0.833], [0.000, 0.000, 0.409], [0.000, 0.000, 0.591], [0.333, 0.667, 0.075], [0.333, 0.667, 0.258], [0.667, 0.333, 0.742], [0.667, 0.333, 0.925]], "rho_g_cm3": 4.20}



Arrangement z

{"formula": "RbAuN2", "functional": "PBE-GGA", "state": "optimized geometry", "cell": [[5.240, 0.000, 0.000], [0.000, 17.041, 0.000], [-0.016, 0.000, 5.393]], "species": ["Rb", "Rb", "Rb", "Rb", "Au", "Au", "Au", "Au", "N", "N", "N", "N", "N", "N", "N", "N"], "fractional_positions": [[0.000, 0.113, 0.250], [0.000, 0.887, 0.750], [0.500, 0.387, 0.750], [0.500, 0.613, 0.250], [0.000, 0.500, 0.000], [0.000, 0.500, 0.500], [0.500, 0.000, 0.000], [0.500, 0.000, 0.500], [0.108, 0.245, 0.750], [0.108, 0.755, 0.250], [0.392, 0.255, 0.250], [0.392, 0.745, 0.750], [0.608, 0.255, 0.250], [0.608, 0.745, 0.750], [0.892, 0.245, 0.750], [0.892, 0.755, 0.250]], "rho_g_cm3": 4.28}



It comes down to arrangement z, which is 128.7 kJ/mol of atoms more stable than the next structure.



Arrangement w

{"formula": "RbAuS2N", "functional": "PBE-GGA", "state": "optimized geometry", "cell": [[5.971, 0.000, 0.000], [0.000, 5.971, 0.000], [0.000, 0.000, 5.289]], "species": ["Rb", "Au", "S", "S", "N"], "fractional_positions": [[0.000, 0.000, 0.000], [0.500, 0.500, 0.500], [0.000, 0.500, 0.000], [0.500, 0.000, 0.000], [0.000, 0.000, 0.500]], "rho_g_cm3": 3.18}



Arrangement x

{"formula": "RbAuS2N", "functional": "PBE-GGA", "state": "optimized geometry", "cell": [[5.401, 0.000, 0.000], [0.000, 5.401, 0.000], [0.000, 0.000, 3.846]], "species": ["Rb", "Au", "S", "S", "N"], "fractional_positions": [[0.000, 0.000, 0.000], [0.500, 0.500, 0.500], [0.000, 0.500, 0.500], [0.500, 0.000, 0.500], [0.500, 0.500, 0.000]], "rho_g_cm3": 5.34}



It comes down to arrangement x, which is 126.0 kJ/mol of atoms more stable than the next structure.



Arrangement w

{"formula": "RbAuSN2", "functional": "PBE-GGA", "state": "optimized geometry", "cell": [[4.241, 0.000, 0.000], [0.000, 4.241, 0.000], [0.000, 0.000, 5.119]], "species": ["Rb", "Au", "S", "N", "N"], "fractional_positions": [[0.000, 0.000, 0.000], [0.500, 0.500, 0.500], [0.500, 0.500, 0.000], [0.000, 0.500, 0.500], [0.500, 0.000, 0.500]], "rho_g_cm3": 6.18}



Arrangement x

{"formula": "RbAuSN2", "functional": "PBE-GGA", "state": "optimized geometry", "cell": [[5.188, 0.000, 0.000], [0.000, 5.188, 0.000], [0.000, 0.000, 6.361]], "species": ["Rb", "Au", "S", "N", "N"], "fractional_positions": [[0.000, 0.000, 0.000], [0.500, 0.500, 0.500], [0.000, 0.000, 0.500], [0.000, 0.500, 0.000], [0.500, 0.000, 0.000]], "rho_g_cm3": 3.32}



It comes down to arrangement w, which is 108.8 kJ/mol of atoms more stable than the next structure.



Arrangement w

{"formula": "RbAuSeN2", "functional": "PBE-GGA", "state": "optimized geometry", "cell": [[5.080, 0.000, 0.000], [0.000, 5.080, 0.000], [0.000, 0.000, 6.736]], "species": ["Rb", "Au", "Se", "N", "N"], "fractional_positions": [[0.000, 0.000, 0.000], [0.500, 0.500, 0.500], [0.000, 0.000, 0.500], [0.000, 0.500, 0.000], [0.500, 0.000, 0.000]], "rho_g_cm3": 3.72}



Arrangement x

{"formula": "RbAuSeN2", "functional": "PBE-GGA", "state": "optimized geometry", "cell": [[4.480, 0.000, 0.000], [0.000, 4.480, 0.000], [0.000, 0.000, 5.467]], "species": ["Rb", "Au", "Se", "N", "N"], "fractional_positions": [[0.000, 0.000, 0.000], [0.500, 0.500, 0.500], [0.500, 0.500, 0.000], [0.000, 0.500, 0.500], [0.500, 0.000, 0.500]], "rho_g_cm3": 5.89}



It comes down to arrangement x, which is 100.5 kJ/mol of atoms more stable than the next structure.



Arrangement w

{"formula": "Re3AuN", "functional": "PBE-GGA", "state": "optimized geometry", "cell": [[4.097, 0.000, 0.000], [0.000, 4.097, 0.000], [0.000, 0.000, 4.097]], "species": ["Re", "Re", "Re", "Au", "N"], "fractional_positions": [[0.000, 0.000, 0.500], [0.000, 0.500, 0.000], [0.500, 0.000, 0.000], [0.500, 0.500, 0.500], [0.000, 0.000, 0.000]], "rho_g_cm3": 18.58}



Arrangement x

{"formula": "Re3AuN", "functional": "PBE-GGA", "state": "optimized geometry", "cell": [[4.913, 0.000, 0.000], [0.000, 4.913, 0.000], [0.000, 0.000, 4.913]], "species": ["Re", "Re", "Re", "Au", "N"], "fractional_positions": [[0.000, 0.000, 0.500], [0.000, 0.500, 0.000], [0.500, 0.000, 0.000], [0.000, 0.000, 0.000], [0.500, 0.500, 0.500]], "rho_g_cm3": 10.78}



It comes down to arrangement w, which is 357.9 kJ/mol of atoms more stable than the next structure.



Arrangement w

{"formula": "ReAuS2N", "functional": "PBE-GGA", "state": "optimized geometry", "cell": [[5.006, 0.000, 0.000], [0.000, 5.006, 0.000], [0.000, 0.000, 3.747]], "species": ["Re", "Au", "S", "S", "N"], "fractional_positions": [[0.000, 0.000, 0.000], [0.500, 0.500, 0.500], [0.000, 0.500, 0.500], [0.500, 0.000, 0.500], [0.500, 0.500, 0.000]], "rho_g_cm3": 8.16}



Arrangement x

{"formula": "ReAuS2N", "functional": "PBE-GGA", "state": "optimized geometry", "cell": [[4.787, 0.000, 0.000], [0.000, 4.787, 0.000], [0.000, 0.000, 3.738]], "species": ["Re", "Au", "S", "S", "N"], "fractional_positions": [[0.000, 0.000, 0.000], [0.500, 0.500, 0.500], [0.000, 0.500, 0.000], [0.500, 0.000, 0.000], [0.000, 0.000, 0.500]], "rho_g_cm3": 8.94}



It comes down to arrangement x, which is 139.1 kJ/mol of atoms more stable than the next structure.



Arrangement w

{"formula": "ReAuSe2N", "functional": "PBE-GGA", "state": "optimized geometry", "cell": [[5.265, 0.000, 0.000], [0.000, 5.265, 0.000], [0.000, 0.000, 3.711]], "species": ["Re", "Au", "Se", "Se", "N"], "fractional_positions": [[0.000, 0.000, 0.000], [0.500, 0.500, 0.500], [0.000, 0.500, 0.500], [0.500, 0.000, 0.500], [0.500, 0.500, 0.000]], "rho_g_cm3": 8.96}



Arrangement x

{"formula": "ReAuSe2N", "functional": "PBE-GGA", "state": "optimized geometry", "cell": [[5.041, 0.000, 0.000], [0.000, 5.041, 0.000], [0.000, 0.000, 3.732]], "species": ["Re", "Au", "Se", "Se", "N"], "fractional_positions": [[0.000, 0.000, 0.000], [0.500, 0.500, 0.500], [0.000, 0.500, 0.000], [0.500, 0.000, 0.000], [0.000, 0.000, 0.500]], "rho_g_cm3": 9.72}



It comes down to arrangement x, which is 130.4 kJ/mol of atoms more stable than the next structure.



Arrangement w

{"formula": "ReTeAuN2", "functional": "PBE-GGA", "state": "optimized geometry", "cell": [[3.867, 0.000, 0.000], [0.000, 3.867, 0.000], [0.000, 0.000, 7.497]], "species": ["Re", "Te", "Au", "N", "N"], "fractional_positions": [[0.000, 0.000, 0.000], [0.500, 0.500, 0.000], [0.500, 0.500, 0.500], [0.000, 0.500, 0.500], [0.500, 0.000, 0.500]], "rho_g_cm3": 7.98}



Arrangement x

{"formula": "ReTeAuN2", "functional": "PBE-GGA", "state": "optimized geometry", "cell": [[3.871, 0.000, 0.000], [0.000, 3.871, 0.000], [0.000, 0.000, 5.913]], "species": ["Re", "Te", "Au", "N", "N"], "fractional_positions": [[0.000, 0.000, 0.000], [0.000, 0.000, 0.500], [0.500, 0.500, 0.500], [0.000, 0.500, 0.000], [0.500, 0.000, 0.000]], "rho_g_cm3": 10.10}



It comes down to arrangement x, which is 183.6 kJ/mol of atoms more stable than the next structure.



Arrangement w

{"formula": "RhAu2N2", "functional": "PBE-GGA", "state": "optimized geometry", "cell": [[5.721, 0.000, 0.000], [0.000, 5.721, 0.000], [0.000, 0.000, 4.185]], "species": ["Rh", "Rh", "Au", "Au", "Au", "Au", "N", "N", "N", "N"], "fractional_positions": [[0.000, 0.000, 0.000], [0.500, 0.500, 0.000], [0.169, 0.331, 0.500], [0.331, 0.831, 0.500], [0.669, 0.169, 0.500], [0.831, 0.669, 0.500], [0.197, 0.303, 0.000], [0.303, 0.803, 0.000], [0.697, 0.197, 0.000], [0.803, 0.697, 0.000]], "rho_g_cm3": 12.73}



Arrangement x

{"formula": "RhAu2N2", "functional": "PBE-GGA", "state": "optimized geometry", "cell": [[4.524, 0.000, 0.000], [0.000, 4.524, 0.000], [0.000, 0.000, 7.530]], "species": ["Rh", "Rh", "Au", "Au", "Au", "Au", "N", "N", "N", "N"], "fractional_positions": [[0.000, 0.000, 0.000], [0.500, 0.500, 0.500], [0.000, 0.500, 0.250], [0.000, 0.500, 0.750], [0.500, 0.000, 0.250], [0.500, 0.000, 0.750], [0.000, 0.000, 0.424], [0.000, 0.000, 0.576], [0.500, 0.500, 0.076], [0.500, 0.500, 0.924]], "rho_g_cm3": 11.31}



It comes down to arrangement w, which is 7.7 kJ/mol of atoms more stable than the next structure.